DFT (PBE-GGA) results for a relaxed structure of TbPaOsPd.

Cell: 4.912 4.912 4.912 Å, 60.00 60.00 60.00°
Fractional coordinates of all 4 atoms:
Tb: 0.000 0.000 0.000
Pa: 0.500 0.500 0.500
Os: 0.250 0.250 0.250
Pd: 0.750 0.750 0.750

Results
Energy of formation: -0.390 eV per atom
Electronic total energy: -32.11 eV per cell
Crystal system: cubic
Space-group type: F-43m (216)
Magnetic moment: 0.00 μB per formula unit